## CrGa2Ni9 (PBE)

Data for a geometry-optimized CrGa2Ni9 structure.

## Properties
Symmetry: P4/mmm, No. 123
Calculated total energy: -5.8588 eV per atom
D(E_F): 12.22 states/eV per cell
Calculated formation energy: -216 meV/atom

abc: 3.5660 3.5660 10.6722
angles: 90.00 90.00 90.00
Last column: nearest neighbours and their distance in Å.
Element x y z (fractional)
Cr (0.0000, 0.0000, 0.0000)  12 Ni 2.47-2.52
Ga (0.0000, 0.0000, 0.3336)  12 Ni 2.52-2.57
Ga (0.0000, 0.0000, 0.6664)  12 Ni 2.52-2.57
Ni (0.0000, 0.5000, 0.1607)  2 Cr 2.47, 8 Ni 2.47-2.55, 2 Ga 2.57
Ni (0.0000, 0.5000, 0.5000)  4 Ga 2.52, 8 Ni 2.52-2.53
Ni (0.0000, 0.5000, 0.8393)  2 Cr 2.47, 8 Ni 2.47-2.55, 2 Ga 2.57
Ni (0.5000, 0.0000, 0.1607)  2 Cr 2.47, 8 Ni 2.47-2.55, 2 Ga 2.57
Ni (0.5000, 0.0000, 0.5000)  4 Ga 2.52, 8 Ni 2.52-2.53
Ni (0.5000, 0.0000, 0.8393)  2 Cr 2.47, 8 Ni 2.47-2.55, 2 Ga 2.57
Ni (0.5000, 0.5000, 0.0000)  8 Ni 2.47, 4 Cr 2.52
Ni (0.5000, 0.5000, 0.3312)  4 Ga 2.52, 8 Ni 2.53-2.55
Ni (0.5000, 0.5000, 0.6688)  4 Ga 2.52, 8 Ni 2.53-2.55